w | Entry from Alexandria via LeMat-Bulk: a geometry-optimized AlTeAu2 structure (PBE-GGA).

POSCAR file:
```
AlTeAu2
1.0
-0.0685 3.0399 -0.1383
-2.4256 0.0291 1.8394
5.6384 0.4649 7.4280
Au Al Te
2 1 1
direct
0.0000 0.0000 0.5751
0.0000 0.0000 0.9249
0.5000 0.5000 0.7500
0.5000 0.5000 0.2500
```

Values from the calculation:
DOS(E_F) (states/eV/atom): 0.34
Space-group type: P4/mmm, No. 123
Volume (Å³/cell): 86.5
Spin magnetization (μB/f.u.): 0.00


x | Entry from Alexandria via LeMat-Bulk: a geometry-optimized AlTeAu2 structure (PBE-GGA).

POSCAR file:
```
AlTeAu2
1.0
7.3116 0.0000 0.0000
0.0000 7.3116 0.0000
3.6558 3.6558 3.3447
Au Te Al
4 2 2
direct
0.1597 0.6250 0.2500
0.8750 0.8403 0.7500
0.3750 0.4097 0.7500
0.5903 0.1250 0.2500
0.7500 0.2500 0.5000
0.0000 0.0000 0.0000
0.5000 0.5000 0.0000
0.2500 0.7500 0.5000
```

Values from the calculation:
DOS(E_F) (states/eV/atom): 0.60
Space-group type: I-42d, No. 122
Volume (Å³/cell): 178.8
Spin magnetization (μB/f.u.): 0.00


y | Entry from Alexandria via LeMat-Bulk: a geometry-optimized AlTeAu2 structure (PBE-GGA).

POSCAR file:
```
AlTeAu2
1.0
-5.1220 3.1537 3.0096
-5.8959 -0.7715 3.1435
-3.3504 0.8574 5.7687
Al Au Te
1 2 1
direct
0.7383 0.7383 0.7383
0.2572 0.2572 0.2572
0.0077 0.0077 0.0077
0.4968 0.4968 0.4968
```

Values from the calculation:
DOS(E_F) (states/eV/atom): 0.30
Space-group type: R3m, No. 160
Volume (Å³/cell): 87.7
Spin magnetization (μB/f.u.): 0.00


Energies relative to the most stable structure are w 6.6; x 10.7; y 0.0, reported in kJ/mol of atoms.


w | Entry from Alexandria via LeMat-Bulk: a geometry-optimized AlTeAu2 structure (PBE-GGA).

POSCAR file:
```
AlTeAu2
1.0
4.0516 -2.3579 1.4336
0.0314 -4.8961 0.2396
2.6023 -2.5961 -3.2433
Au Al Te
2 1 1
direct
0.2500 0.2500 0.2500
0.7500 0.7500 0.7500
0.0000 0.0000 0.0000
0.5000 0.5000 0.5000
```

Values from the calculation:
DOS(E_F) (states/eV/atom): 0.73
Space-group type: Fm-3m, No. 225
Volume (Å³/cell): 83.3
Spin magnetization (μB/f.u.): 0.00


x | Entry from Alexandria via LeMat-Bulk: a geometry-optimized AlTeAu2 structure (PBE-GGA).

POSCAR file:
```
AlTeAu2
1.0
-0.3934 1.7895 -3.6050
5.1725 -3.8783 -2.4896
1.3900 -4.8446 -2.5565
Au Te Al
2 1 1
direct
0.5000 0.5000 0.0000
0.0000 0.0000 0.0000
0.5000 0.5000 0.5000
0.0000 0.0000 0.5000
```

Values from the calculation:
DOS(E_F) (states/eV/atom): 0.36
Space-group type: P2/m, No. 10
Volume (Å³/cell): 89.2
Spin magnetization (μB/f.u.): 0.00


y | Entry from Alexandria via LeMat-Bulk: a geometry-optimized AlTeAu2 structure (PBE-GGA).

POSCAR file:
```
AlTeAu2
1.0
-3.9928 1.4633 0.0420
-1.2401 -3.4621 2.7320
0.7865 2.0302 4.0301
Al Au Te
1 2 1
direct
0.5000 0.7500 0.7500
0.0000 0.9620 0.9620
0.0000 0.5380 0.5380
0.5000 0.2500 0.2500
```

Values from the calculation:
DOS(E_F) (states/eV/atom): 0.38
Space-group type: Cmmm, No. 65
Volume (Å³/cell): 88.3
Spin magnetization (μB/f.u.): 0.00


z | Entry from Alexandria via LeMat-Bulk: a geometry-optimized AlTeAu2 structure (PBE-GGA).

POSCAR file:
```
AlTeAu2
1.0
-3.8780 -0.6713 -1.9381
-0.2236 -0.7573 -4.3154
0.2787 -5.4901 0.6272
Te Au Al
1 2 1
direct
0.4485 0.4485 0.4933
0.0072 0.0072 0.1517
0.6979 0.6979 0.8590
0.3464 0.3464 0.9960
```

Values from the calculation:
DOS(E_F) (states/eV/atom): 0.32
Space-group type: Cm, No. 8
Volume (Å³/cell): 91.6
Spin magnetization (μB/f.u.): 0.00


Energies relative to the most stable structure are w 28.8; x 11.3; y 1.1; z 0.0, reported in kJ/mol of atoms.


w | Entry from Alexandria via LeMat-Bulk: a geometry-optimized AlTeAu2 structure (PBE-GGA).

POSCAR file:
```
AlTeAu2
1.0
-2.1259 1.1239 -2.2617
1.0756 -2.2718 -2.1401
-5.1805 -4.7952 2.4867
Al Au Te
1 2 1
direct
0.5000 0.5000 0.8020
0.5000 0.5000 0.2166
0.0000 0.0000 0.9735
0.0000 0.0000 0.5078
```

Values from the calculation:
DOS(E_F) (states/eV/atom): 0.35
Space-group type: P4mm, No. 99
Volume (Å³/cell): 81.6
Spin magnetization (μB/f.u.): 0.00


x | Entry from Alexandria via LeMat-Bulk: a geometry-optimized AlTeAu2 structure (PBE-GGA).

POSCAR file:
```
AlTeAu2
1.0
-1.0616 3.3176 1.9628
-3.9700 -2.1702 1.5210
0.9364 -2.2316 4.2786
Au Al Te
2 1 1
direct
0.5000 0.2397 0.2331
0.0000 0.9922 0.9735
0.5000 0.7491 0.7941
0.0000 0.5190 0.4993
```

Values from the calculation:
DOS(E_F) (states/eV/atom): 0.37
Space-group type: Pm, No. 6
Volume (Å³/cell): 88.7
Spin magnetization (μB/f.u.): 0.00


y | Entry from Alexandria via LeMat-Bulk: a geometry-optimized AlTeAu2 structure (PBE-GGA).

POSCAR file:
```
AlTeAu2
1.0
-6.3921 2.5105 0.0775
-4.4945 1.5664 4.9511
6.1253 0.4689 -3.0707
Al Au Te
1 2 1
direct
0.2427 0.7427 0.5000
0.0756 0.0756 0.0000
0.7373 0.2374 0.5000
0.4444 0.4444 0.0000
```

Values from the calculation:
DOS(E_F) (states/eV/atom): 0.34
Space-group type: Imm2, No. 44
Volume (Å³/cell): 86.2
Spin magnetization (μB/f.u.): 0.00


z | Entry from Alexandria via LeMat-Bulk: a geometry-optimized AlTeAu2 structure (PBE-GGA).

POSCAR file:
```
AlTeAu2
1.0
-3.2828 -2.5623 -0.5073
-1.3200 -2.7921 2.8392
-4.7607 2.7009 2.9776
Au Te Al
2 1 1
direct
0.5142 0.5142 0.4498
0.9858 0.9858 0.0502
0.7500 0.7500 0.7500
0.2500 0.2500 0.2500
```

Values from the calculation:
DOS(E_F) (states/eV/atom): 0.36
Space-group type: C2/m, No. 12
Volume (Å³/cell): 85.6
Spin magnetization (μB/f.u.): 0.00


Energies relative to the most stable structure are w 22.6; x 8.8; y 7.0; z 0.0, reported in kJ/mol of atoms.


w | Entry from Alexandria via LeMat-Bulk: a geometry-optimized AlTeAu structure (PBE-GGA).

POSCAR file:
```
AlTeAu
1.0
6.7291 -0.2056 0.1709
5.6036 3.0699 -0.0318
1.1255 -0.7983 3.1831
Au Te Al
1 1 1
direct
0.3541 0.3541 0.6459
0.6584 0.6584 0.3416
0.9874 0.9874 0.0126
```

Values from the calculation:
DOS(E_F) (states/eV/atom): 0.49
Space-group type: Fmm2, No. 42
Volume (Å³/cell): 67.9
Spin magnetization (μB/f.u.): 0.00


x | Entry from Alexandria via LeMat-Bulk: a geometry-optimized AlTeAu structure (PBE-GGA).

POSCAR file:
```
AlTeAu
1.0
4.1988 0.0000 -0.0055
0.0000 4.1010 0.0000
-2.0643 0.0000 5.0655
Au Te Al
1 1 1
direct
0.9455 0.0000 0.3076
0.7543 0.5000 0.9289
0.0901 0.5000 0.5959
```

Values from the calculation:
DOS(E_F) (states/eV/atom): 0.05
Space-group type: Pm, No. 6
Volume (Å³/cell): 87.2
Spin magnetization (μB/f.u.): 0.00


y | Entry from Alexandria via LeMat-Bulk: a geometry-optimized AlTeAu structure (PBE-GGA).

POSCAR file:
```
AlTeAu
1.0
7.4524 0.0000 0.0056
0.0000 6.8538 0.0000
-4.1918 0.0000 6.7244
Al Au Te
4 4 4
direct
0.0000 0.5000 0.2204
0.0000 0.0000 0.7204
0.0000 0.0000 0.2796
0.0000 0.5000 0.7796
0.0000 0.6977 0.5000
0.0000 0.1977 0.0000
0.0000 0.8023 0.0000
0.0000 0.3023 0.5000
0.6691 0.5000 0.8356
0.6691 0.0000 0.3356
0.3309 0.5000 0.1644
0.3309 0.0000 0.6644
```

Values from the calculation:
DOS(E_F) (states/eV/atom): 0.06
Space-group type: C2/m, No. 12
Volume (Å³/cell): 343.6
Spin magnetization (μB/f.u.): 0.00


z | Entry from Alexandria via LeMat-Bulk: a geometry-optimized AlTeAu structure (PBE-GGA).

POSCAR file:
```
AlTeAu
1.0
6.7520 0.0120 0.0000
5.1802 4.3307 0.0000
-5.9661 -2.1714 2.2979
Te Al Au
1 1 1
direct
0.6530 0.6530 0.0000
0.9759 0.9759 0.0000
0.3711 0.3711 0.0000
```

Values from the calculation:
DOS(E_F) (states/eV/atom): 0.34
Space-group type: I4mm, No. 107
Volume (Å³/cell): 67.1
Spin magnetization (μB/f.u.): 0.00


Energies relative to the most stable structure are w 28.3; x 2.1; y 0.0; z 27.1, reported in kJ/mol of atoms.


w | Entry from Alexandria via LeMat-Bulk: a geometry-optimized AlTeAu structure (PBE-GGA).

POSCAR file:
```
AlTeAu
1.0
6.7482 0.0000 0.0000
-3.3741 5.8441 0.0000
0.0000 0.0000 6.8079
Al Au Te
3 3 3
direct
0.4837 0.0479 0.0183
0.9521 0.4358 0.6849
0.5642 0.5163 0.3516
0.9508 0.5578 0.3455
0.4422 0.3929 0.0121
0.6071 0.0492 0.6788
0.7007 0.9641 0.3029
0.2634 0.2993 0.6362
0.0359 0.7366 0.9696
```

Values from the calculation:
Space-group type: P3_2, No. 145
Volume (Å³/cell): 268.5
Spin magnetization (μB/f.u.): 0.00


x | Entry from Alexandria via LeMat-Bulk: a geometry-optimized AlTeAu structure (PBE-GGA).

POSCAR file:
```
AlTeAu
1.0
-4.0067 -1.3600 0.1252
0.7513 -2.6008 -5.2077
0.1449 -6.9732 0.2630
Au Te Al
2 2 2
direct
0.6415 0.1892 0.7119
0.3585 0.8108 0.2881
0.0862 0.8313 0.8186
0.9138 0.1687 0.1814
0.1555 0.4450 0.6872
0.8445 0.5550 0.3128
```

Values from the calculation:
DOS(E_F) (states/eV/atom): 0.16
Space-group type: P-1, No. 2
Volume (Å³/cell): 148.9
Spin magnetization (μB/f.u.): 0.00


y | Entry from Alexandria via LeMat-Bulk: a geometry-optimized AlTeAu structure (PBE-GGA).

POSCAR file:
```
AlTeAu
1.0
-1.7980 -4.6206 -5.9547
4.0115 -1.7130 0.1180
-2.2256 -4.5542 9.5485
Te Au Al
4 4 4
direct
0.6867 0.0000 0.9001
0.6867 0.5000 0.4001
0.3133 0.0000 0.0999
0.3133 0.5000 0.5999
0.1462 0.5000 0.9275
0.8538 0.5000 0.0725
0.1462 0.0000 0.4275
0.8538 0.0000 0.5725
0.0198 0.5000 0.6730
0.0198 0.0000 0.1730
0.9802 0.5000 0.3270
0.9802 0.0000 0.8270
```

Values from the calculation:
DOS(E_F) (states/eV/atom): 0.07
Space-group type: C2/m, No. 12
Volume (Å³/cell): 338.1
Spin magnetization (μB/f.u.): 0.00


Energies relative to the most stable structure are w 16.2; x 6.8; y 0.0, reported in kJ/mol of atoms.